No. 1
Ca2BMo: optimized geometry, GGA-PBE.

Lattice parameters (Å, degrees): 10.184 10.184 4.178 90.00 90.00 90.00
Space group I-42d (No. 122)
Asymmetric unit:
Ca1 0.080 0.750 0.125
B1 0.000 0.000 0.000
Mo1 0.000 0.000 0.500

E, eV/atom: -4.752
Volume, Å³/f.u.: 108.33
Formation enthalpy at 0 K, eV/atom: 0.626


No. 2
BeCdW: optimized geometry, GGA-PBE.

Lattice parameters (Å, degrees): 5.751 5.751 5.751 90.00 90.00 90.00
Space group F-43m (No. 216)
Asymmetric unit:
Be1 0.000 0.000 0.000
Cd1 0.250 0.250 0.250
W1 0.250 0.250 0.750

Energy above the lowest structure with this stoichiometry, meV/atom: 525.6
E, eV/atom: -4.891
Volume, Å³/f.u.: 47.56
Formation enthalpy at 0 K, eV/atom: 0.974


No. 3
Ba2Tl3Bi2: optimized geometry, GGA-PBE.

Lattice parameters (Å, degrees): 12.564 4.913 8.686 90.00 98.59 90.00
Space group C2/m (No. 12)
Asymmetric unit:
Ba1 0.114 0.000 0.320
Tl1 0.000 0.500 0.000
Tl2 0.191 0.000 0.885
Bi1 0.098 0.500 0.642

Energy above the lowest structure with this stoichiometry, meV/atom: 0.0
E, eV/atom: -3.146
Volume, Å³/f.u.: 265.09
Formation enthalpy at 0 K, eV/atom: -0.474


No. 4
RuAu2F: optimized geometry, GGA-PBE.

Lattice parameters (Å, degrees): 7.130 7.130 5.354 90.00 90.00 90.00
Space group I-42d (No. 122)
Asymmetric unit:
Ru1 0.000 0.000 0.000
Au1 0.230 0.750 0.625
F1 0.000 0.000 0.500

Energy relative to the elements, uncorrected, eV/atom: 0.337
Energy above the lowest structure with this stoichiometry, meV/atom: 56.5
E, eV/atom: -4.088
Volume, Å³/f.u.: 68.04


No. 5
Sc2IrRh: optimized geometry, GGA-PBE.

Lattice parameters (Å, degrees): 3.1012 3.1012 27.2530 90.00 90.00 120.00
Space group R3m (No. 160, hexagonal axes)
Asymmetric unit:
Sc1 0.0000 0.0000 0.0000
Sc2 0.0000 0.0000 0.2223
Ir1 0.0000 0.0000 0.7357
Rh1 0.0000 0.0000 0.4877

Energy above the lowest structure with this stoichiometry, meV/atom: 875.9
E, eV/atom: -7.383
Volume, Å³/f.u.: 75.66
Formation enthalpy at 0 K, eV/atom: -0.165


No. 6
Ce2ErFe9: optimized geometry, GGA-PBE.

Lattice parameters (Å, degrees): 5.0417 5.0417 24.6428 90.00 90.00 120.00
Space group R-3m (No. 166, hexagonal axes)
Asymmetric unit:
Ce1 0.0000 0.0000 0.1434
Er1 0.0000 0.0000 0.0000
Fe1 0.0000 0.0000 0.3329
Fe2 0.0000 0.0000 0.5000
Fe3 0.0018 0.5009 0.0806

E, eV/atom: -7.795
Volume, Å³/f.u.: 180.82
Formation enthalpy at 0 K, eV/atom: -0.079


No. 7
LaTmOsPd: optimized geometry, GGA-PBE.

Lattice parameters (Å, degrees): 7.024 7.024 7.024 90.00 90.00 90.00
Space group F-43m (No. 216)
Asymmetric unit:
La1 0.000 0.000 0.000
Tm1 0.000 0.000 0.500
Os1 0.250 0.250 0.750
Pd1 0.250 0.250 0.250

E, eV/atom: -6.889
Volume, Å³/f.u.: 86.63
Formation enthalpy at 0 K, eV/atom: -0.434


No. 8
Y2CuNi3: optimized geometry, GGA-PBE.

Lattice parameters (Å, degrees): 5.1786 5.1786 8.2253 90.00 90.00 120.00
Space group P6_3/mmc (No. 194)
Asymmetric unit:
Y1 0.3333 0.6667 0.0612
Cu1 0.0000 0.0000 0.0000
Ni1 0.1664 0.3328 0.7500

E, eV/atom: -6.091
Volume, Å³/f.u.: 95.52
Formation enthalpy at 0 K, eV/atom: -0.363


No. 9
TaNbH2: optimized geometry, GGA-PBE.

Lattice parameters (Å, degrees): 2.9469 2.9469 16.5930 90.00 90.00 120.00
Space group R3m (No. 160, hexagonal axes)
Asymmetric unit:
Ta1 0.0000 0.0000 0.0000
Nb1 0.0000 0.0000 0.1728
H1 0.0000 0.0000 0.4157
H2 0.0000 0.0000 0.5903

Energy above the lowest structure with this stoichiometry, meV/atom: 327.6
E, eV/atom: -7.030
Volume, Å³/f.u.: 41.60


No. 10
Hf6Hg2Pb: optimized geometry, GGA-PBE.

Lattice parameters (Å, degrees): 11.029 12.891 5.788 90.00 97.63 90.00
Space group C2/c (No. 15)
Asymmetric unit:
Hf1 0.025 0.207 0.495
Hf2 0.146 0.394 0.270
Hf3 0.249 0.187 0.233
Hg1 0.133 0.016 0.898
Pb1 0.000 0.411 0.750

E, eV/atom: -7.086
Volume, Å³/f.u.: 203.91
Formation enthalpy at 0 K, eV/atom: 0.029


No. 11
ZnCdIr2C: optimized geometry, GGA-PBE.

Lattice parameters (Å, degrees): 4.574 4.574 4.702 90.00 90.00 90.00
Space group P4/mmm (No. 123)
Asymmetric unit:
Zn1 0.000 0.000 0.000
Cd1 0.000 0.000 0.500
Ir1 0.000 0.500 0.000
C1 0.500 0.500 0.500

E, eV/atom: -3.413
Volume, Å³/f.u.: 98.39
Formation enthalpy at 0 K, eV/atom: 2.414


No. 12
Ca2SeBrCl: optimized geometry, GGA-PBE.

Lattice parameters (Å, degrees): 5.633 5.633 5.363 90.00 90.00 90.00
Space group P4/mmm (No. 123)
Asymmetric unit:
Ca1 0.000 0.500 0.000
Se1 0.000 0.000 0.500
Br1 0.000 0.000 0.000
Cl1 0.500 0.500 0.500

Energy relative to the elements, uncorrected, eV/atom: -0.672
E, eV/atom: -2.874
Volume, Å³/f.u.: 170.15


No. 13
ZrNi2RhPb: optimized geometry, GGA-PBE.

Lattice parameters (Å, degrees): 4.614 4.614 5.443 90.00 90.00 90.00
Space group P4/mmm (No. 123)
Asymmetric unit:
Zr1 0.000 0.000 0.000
Ni1 0.000 0.500 0.500
Rh1 0.500 0.500 0.000
Pb1 0.000 0.000 0.500

E, eV/atom: -4.837
Volume, Å³/f.u.: 115.86
Formation enthalpy at 0 K, eV/atom: 1.397


No. 14
YErScZn: optimized geometry, GGA-PBE.

Lattice parameters (Å, degrees): 7.358 7.358 7.358 90.00 90.00 90.00
Space group F-43m (No. 216)
Asymmetric unit:
Y1 0.000 0.000 0.000
Er1 0.000 0.000 0.500
Sc1 0.250 0.250 0.750
Zn1 0.250 0.250 0.250

Energy above the lowest structure with this stoichiometry, meV/atom: 141.0
E, eV/atom: -4.663
Volume, Å³/f.u.: 99.59
Formation enthalpy at 0 K, eV/atom: -0.005


No. 15
LaCu2SiTc: optimized geometry, GGA-PBE.

Lattice parameters (Å, degrees): 4.762 4.762 4.552 90.00 90.00 90.00
Space group P4/mmm (No. 123)
Asymmetric unit:
La1 0.000 0.000 0.000
Cu1 0.000 0.500 0.500
Si1 0.500 0.500 0.000
Tc1 0.500 0.500 0.500

Energy relative to the elements, uncorrected, eV/atom: 0.078
E, eV/atom: -5.704
Volume, Å³/f.u.: 103.20


No. 16
PaTl6I12: optimized geometry, GGA-PBE.

Lattice parameters (Å, degrees): 14.2988 14.2988 16.5188 90.00 90.00 120.00
Space group R-3 (No. 148, hexagonal axes)
Asymmetric unit:
Pa1 0.0000 0.0000 0.0000
Tl1 0.0288 0.7613 0.5945
I1 0.0230 0.8048 0.3916
I2 0.0934 0.8987 0.8970

Energy relative to the elements, uncorrected, eV/atom: -0.667
E, eV/atom: -2.893
Volume, Å³/f.u.: 974.97


No. 17
Mg3Ga2Hg: optimized geometry, GGA-PBE.

Lattice parameters (Å, degrees): 3.446 3.446 10.139 90.00 90.00 90.00
Space group P4/mmm (No. 123)
Asymmetric unit:
Mg1 0.000 0.000 0.000
Mg2 0.000 0.000 0.325
Ga1 0.500 0.500 0.162
Hg1 0.500 0.500 0.500

E, eV/atom: -2.019
Volume, Å³/f.u.: 120.41
Formation enthalpy at 0 K, eV/atom: -0.162


No. 18
RbPa2Ag2O7: optimized geometry, GGA-PBE.

Lattice parameters (Å, degrees): 4.328 4.461 20.543 90.00 90.00 90.00
Space group Immm (No. 71)
Asymmetric unit:
Rb1 0.000 0.000 0.000
Pa1 0.000 0.000 0.393
Ag1 0.000 0.500 0.273
O1 0.000 0.000 0.283
O2 0.000 0.000 0.500
O3 0.000 0.500 0.103
O4 0.000 0.500 0.393

Energy relative to the elements, uncorrected, eV/atom: -2.312
E, eV/atom: -7.343
Volume, Å³/f.u.: 198.34


No. 19
CaSmSi3: optimized geometry, GGA-PBE.

Lattice parameters (Å, degrees): 4.299 25.043 3.961 90.00 90.00 90.00
Space group Cmcm (No. 63)
Asymmetric unit:
Ca1 0.000 0.203 0.250
Sm1 0.000 0.070 0.750
Si1 0.000 0.328 0.250
Si2 0.000 0.382 0.750
Si3 0.000 0.476 0.750

Energy relative to the elements, uncorrected, eV/atom: -0.552
E, eV/atom: -5.150
Volume, Å³/f.u.: 106.62